## SiTc2TeAu (PBE-GGA)

Data for crystalline SiTc2TeAu at its relaxed geometry.

Results
uncorrected formation energy	0.815	eV/atom
DFT total energy	-5.70	eV/atom
crystal system	tetragonal

a b c (Å): 4.624 4.624 4.606
angles (deg): 90.00 90.00 90.00
Space group P4/mmm (No. 123)
One atom of each set of equivalent atoms:
Si (0.000, 0.000, 0.000)
Tc (0.000, 0.500, 0.000)
Te (0.500, 0.500, 0.500)
Au (0.000, 0.000, 0.500)